10
Lattice="6.352 0.000 0.000 0.000 3.608 0.000 -0.378 0.000 7.863" Properties=species:S:1:pos:R:3 comment="CdFeClO2, relaxed, DFT GGA+U" n_ef_per_ev_atom=0.000 vol_a3_per_atom=18.0 rho_g_cm3=4.34 dft_energy_ev_per_atom=-4.815 pbc="T T T"
Cd 1.378 0.902 0.600
Cd 4.596 2.706 7.263
Fe 0.319 0.902 4.977
Fe 5.655 2.706 2.886
Cl 2.620 0.902 6.320
Cl 3.354 2.706 1.543
O 0.187 2.706 1.213
O 0.687 2.706 4.355
O 5.287 0.902 3.508
O 5.788 0.902 6.650